Record 1
Computed, not measured: TbGa3CoRu after structural relaxation at the PBE-GGA level of DFT.

a = 6.469 Å, b = 6.469 Å, c = 5.596 Å
α = 90.00°, β = 90.00°, γ = 107.39°
Fractional positions:
Tb1 0.212 0.788 0.750
Tb2 0.788 0.212 0.250
Ga1 0.250 0.250 0.000
Ga2 0.250 0.250 0.500
Ga3 0.311 0.689 0.250
Ga4 0.689 0.311 0.750
Ga5 0.750 0.750 0.000
Ga6 0.750 0.750 0.500
Co1 0.469 0.531 0.750
Co2 0.531 0.469 0.250
Ru1 0.081 0.919 0.250
Ru2 0.919 0.081 0.750

Record 2
Computed, not measured: TbGaCoRu after structural relaxation at the PBE-GGA level of DFT.

a = 6.342 Å, b = 6.342 Å, c = 6.342 Å
α = 90.00°, β = 90.00°, γ = 90.00°
Fractional positions:
Tb1 0.000 0.000 0.000
Tb2 0.000 0.500 0.500
Tb3 0.500 0.000 0.500
Tb4 0.500 0.500 0.000
Ga1 0.000 0.000 0.500
Ga2 0.000 0.500 0.000
Ga3 0.500 0.000 0.000
Ga4 0.500 0.500 0.500
Co1 0.250 0.250 0.750
Co2 0.250 0.750 0.250
Co3 0.750 0.250 0.250
Co4 0.750 0.750 0.750
Ru1 0.250 0.250 0.250
Ru2 0.250 0.750 0.750
Ru3 0.750 0.250 0.750
Ru4 0.750 0.750 0.250

Record 3
Computed, not measured: Th2Ga4Co3Ru after structural relaxation at the PBE-GGA level of DFT.

a = 4.250 Å, b = 4.250 Å, c = 9.611 Å
α = 90.00°, β = 90.00°, γ = 90.00°
Fractional positions:
Th1 0.000 0.500 0.236
Th2 0.500 0.000 0.764
Ga1 0.000 0.000 0.500
Ga2 0.000 0.500 0.871
Ga3 0.500 0.000 0.129
Ga4 0.500 0.500 0.500
Co1 0.000 0.000 0.000
Co2 0.000 0.500 0.624
Co3 0.500 0.000 0.376
Ru1 0.500 0.500 0.000

Record 4
Computed, not measured: ThGaCoRu after structural relaxation at the PBE-GGA level of DFT.

a = 6.535 Å, b = 6.535 Å, c = 6.535 Å
α = 90.00°, β = 90.00°, γ = 90.00°
Fractional positions:
Th1 0.000 0.000 0.000
Th2 0.000 0.500 0.500
Th3 0.500 0.000 0.500
Th4 0.500 0.500 0.000
Ga1 0.000 0.000 0.500
Ga2 0.000 0.500 0.000
Ga3 0.500 0.000 0.000
Ga4 0.500 0.500 0.500
Co1 0.250 0.250 0.250
Co2 0.250 0.750 0.750
Co3 0.750 0.250 0.750
Co4 0.750 0.750 0.250
Ru1 0.250 0.250 0.750
Ru2 0.250 0.750 0.250
Ru3 0.750 0.250 0.250
Ru4 0.750 0.750 0.750

Record 5
Computed, not measured: ThGa2CoRu after structural relaxation at the PBE-GGA level of DFT.

a = 4.289 Å, b = 4.289 Å, c = 9.655 Å
α = 90.00°, β = 90.00°, γ = 90.00°
Fractional positions:
Th1 0.000 0.000 0.000
Th2 0.500 0.500 0.500
Ga1 0.000 0.000 0.369
Ga2 0.000 0.000 0.631
Ga3 0.500 0.500 0.131
Ga4 0.500 0.500 0.869
Co1 0.000 0.500 0.250
Co2 0.500 0.000 0.750
Ru1 0.000 0.500 0.750
Ru2 0.500 0.000 0.250

Record 6
Computed, not measured: TiGa2CoRu after structural relaxation at the PBE-GGA level of DFT.

a = 4.374 Å, b = 4.374 Å, c = 4.287 Å
α = 90.00°, β = 90.00°, γ = 90.00°
Fractional positions:
Ti1 0.000 0.000 0.000
Ga1 0.000 0.500 0.500
Ga2 0.500 0.000 0.500
Co1 0.000 0.000 0.500
Ru1 0.500 0.500 0.000

DFT formation energy values (in kJ/mol of formula units) by entry order: -172; -82; -428; -115; -225; 159.
E_tot values (in eV/f.u.) by entry order: -31.87; -24.89; -61.98; -28.02; -32.18; -28.68.
Spin magnetization values (in μB per atom) by entry order: 0.00; 0.00; 0.00; 0.00; 0.00; 0.14.